Computed, not measured: ScP2RhO after structural relaxation at the GGA-PBE level of DFT.

The space group is P4/mmm (No. 123) and the conventional cell measures 5.003, 5.003 and 3.759 Å, with angles of 90.00, 90.00 and 90.00 degrees. Symmetry generates all atoms from Sc at (0.000, 0.000, 0.000), P at (0.000, 0.500, 0.000), Rh at (0.500, 0.500, 0.500) and O at (0.000, 0.000, 0.500).

The calculation puts the energy above the lowest structure with this stoichiometry at 0.3547 eV per atom. The calculation puts the total energy at -5.80 eV/atom. As for the total moment: 0.12 μB/f.u. Its formation energy from raw total energies is 0.0913 eV per atom.